[1]
Compound: BP2HOs
Source: Alexandria via LeMat-Bulk
Functional: PBE-GGA
Structure: relaxed

Computed properties:
Magnetic moment, μB/f.u.: 0.00
Crystal system: tetragonal

The structure in POSCAR format:
```
BP2HOs
1.0
-3.291 -2.491 -1.178
1.770 -2.132 -0.436
-0.508 -1.255 4.073
P Os B H
2 1 1 1
Direct
0.000 0.000 0.500 P
0.500 0.000 0.000 P
0.500 0.500 0.500 Os
0.000 0.000 0.000 B
0.000 0.500 0.000 H
```

=====

[2]
Compound: TmTlRh2
Source: Alexandria via LeMat-Bulk
Functional: PBE-GGA
Structure: relaxed

Computed properties:
Magnetic moment, μB/f.u.: 0.00
Crystal system: tetragonal
ΔH_f (0 K), eV/f.u.: -2.413

The structure in POSCAR format:
```
TmTlRh2
1.0
3.638 0.000 0.000
0.000 4.474 0.000
0.000 0.000 4.474
Rh Tm Tl
2 1 1
Direct
0.000 0.500 0.000 Rh
0.000 0.000 0.500 Rh
0.500 0.500 0.500 Tm
0.500 0.000 0.000 Tl
```

=====

| no. | raw total energy (eV for the cell shown) |
| --- | --- |
| 1 | -29.5 |
| 2 | -24.0 |